TbScZnCu (PBE, optimized geometry); energy of formation = -276 meV/atom; DFT total energy = -17.434 eV per cell; DOS(E_F) = 3.644 states/eV per cell; crystal system = cubic
1.0
-1.884 -4.462 0.201
1.897 -3.299 3.002
-2.472 -1.412 3.923
Cu Zn Sc Tb
1 1 1 1
Direct
0.250 0.250 0.250 Cu
0.750 0.750 0.750 Zn
0.500 0.500 0.500 Sc
0.000 0.000 0.000 Tb

***

MgNiPt3 (PBE, optimized geometry); energy of formation = -402 meV/atom; DFT total energy = -55.021 eV per cell; DOS(E_F) = 8.547 states/eV per cell; crystal system = orthorhombic
1.0
-1.631 -2.155 2.832
-0.918 -2.783 -2.647
7.580 -5.351 2.999
Pt Ni Mg
6 2 2
Direct
0.268 0.750 0.112 Pt
0.772 0.250 0.105 Pt
0.877 0.750 0.895 Pt
0.075 0.750 0.498 Pt
0.380 0.250 0.888 Pt
0.573 0.250 0.502 Pt
0.672 0.750 0.304 Ni
0.976 0.250 0.696 Ni
0.475 0.750 0.698 Mg
0.173 0.250 0.302 Mg

***

Ce2ZrSb3 (PBE, optimized geometry); uncorrected formation energy = -0.87 eV/atom; DFT total energy = -38.032 eV per cell; DOS(E_F) = 13.889 states/eV per cell; crystal system = orthorhombic
1.0
-2.943 3.145 0.631
-4.392 -4.286 0.876
4.992 0.523 5.657
Sb Ce Zr
3 2 1
Direct
0.655 0.655 0.310 Sb
0.000 0.000 0.000 Sb
0.345 0.345 0.690 Sb
0.329 0.829 0.658 Ce
0.671 0.171 0.342 Ce
0.000 0.500 0.000 Zr

***

Li3YAu3 (PBE, optimized geometry); energy of formation = -109 meV/atom; DFT total energy = -45.606 eV per cell; DOS(E_F) = 4.051 states/eV per cell; crystal system = cubic
1.0
6.691 0.000 0.000
0.000 6.691 0.000
0.000 0.000 6.691
Au Y Li
6 2 6
Direct
0.000 0.750 0.500 Au
0.000 0.250 0.500 Au
0.500 0.000 0.750 Au
0.250 0.500 0.000 Au
0.750 0.500 0.000 Au
0.500 0.000 0.250 Au
0.000 0.000 0.000 Y
0.500 0.500 0.500 Y
0.500 0.750 0.000 Li
0.250 0.000 0.500 Li
0.000 0.500 0.750 Li
0.500 0.250 0.000 Li
0.750 0.000 0.500 Li
0.000 0.500 0.250 Li

***

CsK4Pb (PBE, optimized geometry); energy of formation = -41 meV/atom; DFT total energy = -18.402 eV per cell; DOS(E_F) = 10.534 states/eV per cell; crystal system = monoclinic
1.0
7.752 -0.008 -1.939
-0.840 9.246 -3.394
-1.201 -1.026 11.898
K Pb Cs
8 2 2
Direct
0.000 0.781 0.000 K
0.000 0.219 0.000 K
0.605 0.335 0.208 K
0.395 0.128 0.792 K
0.395 0.665 0.792 K
0.605 0.872 0.208 K
0.852 0.353 0.705 K
0.148 0.647 0.295 K
0.306 0.500 0.000 Pb
0.694 0.500 0.000 Pb
0.215 0.214 0.429 Cs
0.785 0.786 0.571 Cs

***

MnGaCuRu (PBE, optimized geometry); energy of formation = -73 meV/atom; DFT total energy = -25.862 eV per cell; DOS(E_F) = 3.644 states/eV per cell; crystal system = cubic
1.0
-0.238 2.551 -3.392
2.654 -0.562 -3.272
-1.469 -1.506 -3.693
Ru Mn Cu Ga
1 1 1 1
Direct
0.750 0.750 0.750 Ru
0.500 0.500 0.500 Mn
0.250 0.250 0.250 Cu
0.000 0.000 0.000 Ga

***

What is the formula in the sixth record? MnGaCuRu

***

Please write out number 2 again, unchanged.
MgNiPt3 (PBE, optimized geometry); energy of formation = -402 meV/atom; DFT total energy = -55.021 eV per cell; DOS(E_F) = 8.547 states/eV per cell; crystal system = orthorhombic
1.0
-1.631 -2.155 2.832
-0.918 -2.783 -2.647
7.580 -5.351 2.999
Pt Ni Mg
6 2 2
Direct
0.268 0.750 0.112 Pt
0.772 0.250 0.105 Pt
0.877 0.750 0.895 Pt
0.075 0.750 0.498 Pt
0.380 0.250 0.888 Pt
0.573 0.250 0.502 Pt
0.672 0.750 0.304 Ni
0.976 0.250 0.696 Ni
0.475 0.750 0.698 Mg
0.173 0.250 0.302 Mg

***

What did the first record say?
TbScZnCu (PBE, optimized geometry); energy of formation = -276 meV/atom; DFT total energy = -17.434 eV per cell; DOS(E_F) = 3.644 states/eV per cell; crystal system = cubic
1.0
-1.884 -4.462 0.201
1.897 -3.299 3.002
-2.472 -1.412 3.923
Cu Zn Sc Tb
1 1 1 1
Direct
0.250 0.250 0.250 Cu
0.750 0.750 0.750 Zn
0.500 0.500 0.500 Sc
0.000 0.000 0.000 Tb